Compound: HoEr3Tl2B2
Source: OQMD via LeMat-Bulk
Functional: PBE
Structure: optimized geometry

Calculated values
Electronic total energy in eV per atom: -4.66

a b c (Å): 3.6125 3.6125 16.7763
angles (deg): 90.00 90.00 120.00
Fractional coordinates of all 8 atoms:
B: 0.3333 0.6667 0.0005
B: 0.3333 0.6667 0.5000
Er: 0.6667 0.3333 0.0917
Er: 0.6667 0.3333 0.4090
Er: 0.0000 0.0000 0.5905
Ho: 0.0000 0.0000 0.9088
Tl: 0.0000 0.0000 0.2501
Tl: 0.6667 0.3333 0.7494